[1]
NbFeTeIrN | PBE-GGA | relaxed

a b c (Å): 7.1496 3.0993 7.5191
angles (deg): 90.00 117.11 90.00
Last column: nearest neighbours and their distance in Å.
Atoms (fractional coordinates):
1 Nb 0.7321 0.0000 0.1601  3 N 2.17-2.26
2 Nb 0.7321 0.5000 0.6601  3 N 2.17-2.26
3 Fe 0.9817 0.0000 0.5565  2 N 2.08
4 Fe 0.9817 0.5000 0.0565  2 N 2.08
5 Te 0.1957 0.0000 0.3511  3 Fe 2.56-2.62, 3 Ir 2.67-2.79
6 Te 0.1957 0.5000 0.8511  3 Fe 2.56-2.62, 3 Ir 2.67-2.79
7 Ir 0.4516 0.0000 0.7426  1 N 2.10
8 Ir 0.4516 0.5000 0.2426  1 N 2.10
9 N 0.7819 0.0000 0.8966  2 Fe 2.08, 1 Ir 2.10, 3 Nb 2.17-2.26
10 N 0.7819 0.5000 0.3966  2 Fe 2.08, 1 Ir 2.10, 3 Nb 2.17-2.26

Output
Formation energy from raw total energies (eV/f.u.): 0.1
Total DFT energy (no corrections) (eV/cell): -77.6
Space group: Cm, No. 8

[2]
Ca2ScIn | PBE-GGA | relaxed

a b c (Å): 5.9854 5.9854 5.9854
angles (deg): 132.12 132.12 70.04
Last column: nearest neighbours and their distance in Å.
Atoms (fractional coordinates):
1 Sc 0.7500 0.2500 0.5000  4 In 3.43, 8 Ca 3.45
2 Ca 0.0000 0.0000 0.0000  4 Ca 3.43, 4 In 3.45, 4 Sc 3.45
3 Ca 0.5000 0.5000 0.0000  4 Ca 3.43, 4 In 3.45, 4 Sc 3.45
4 In 0.2500 0.7500 0.5000  4 Sc 3.43, 8 Ca 3.45

Output
Total DFT energy (no corrections) (eV/cell): -13.4
Space group: I4/mmm, No. 139
ΔH_f (0 K) (meV/atom): -92

> What is the formula in the second record?

Ca2ScIn